Entry from the Alexandria database: a relaxed structure of TlV2GaSb (GGA-PBE).

Properties
- Final energy: -4.56 eV/atom
- Space-group type: P4/mmm, No. 123
- DOS(E_F): 7.36 states/eV/cell
- Formation energy from raw total energies: 4.96 eV per formula unit

a = 5.152 Å, b = 5.152 Å, c = 5.349 Å
α = 90.00°, β = 90.00°, γ = 90.00°
Atoms (fractional coordinates):
Tl: 0.000 0.000 0.000
V: 0.000 0.500 0.500
V: 0.500 0.000 0.500
Ga: 0.500 0.500 0.000
Sb: 0.500 0.500 0.500

---

Entry from the Alexandria database: a relaxed structure of Tl2ZnGaSb2 (GGA-PBE).

Properties
- Final energy: -2.90 eV/atom
- Space-group type: Ibam, No. 72
- DOS(E_F): 2.87 states/eV/cell
- Formation energy from raw total energies: -0.13 eV per formula unit

a = 9.578 Å, b = 9.578 Å, c = 9.578 Å
α = 141.11°, β = 55.65°, γ = 141.80°
Atoms (fractional coordinates):
Tl: 0.190 0.245 0.434
Tl: 0.310 0.745 0.055
Tl: 0.690 0.255 0.945
Tl: 0.810 0.755 0.566
Zn: 0.250 0.750 0.500
Zn: 0.750 0.250 0.500
Ga: 0.250 0.250 0.000
Ga: 0.750 0.750 0.000
Sb: 0.102 0.746 0.849
Sb: 0.398 0.246 0.644
Sb: 0.602 0.754 0.356
Sb: 0.898 0.254 0.151

---

Entry from the Alexandria database: a relaxed structure of Tm2GaSb (GGA-PBE).

Properties
- ΔE to the lowest computed polymorph: 172 meV/atom
- Final energy: -4.66 eV/atom
- Space-group type: R-3m, No. 166
- DOS(E_F): 8.11 states/eV/cell
- Formation energy from raw total energies: -2.54 eV per formula unit

a = 4.087 Å, b = 4.087 Å, c = 22.375 Å
α = 90.00°, β = 90.00°, γ = 120.00°
Atoms (fractional coordinates):
Tm: 0.000 0.000 0.250
Tm: 0.000 0.000 0.750
Tm: 0.333 0.667 0.416
Tm: 0.333 0.667 0.917
Tm: 0.667 0.333 0.083
Tm: 0.667 0.333 0.584
Ga: 0.000 0.000 0.500
Ga: 0.333 0.667 0.167
Ga: 0.667 0.333 0.833
Sb: 0.000 0.000 0.000
Sb: 0.333 0.667 0.667
Sb: 0.667 0.333 0.333

---

Entry from the Alexandria database: a relaxed structure of Tm8Ga2Sb (GGA-PBE).

Properties
- Final energy: -4.53 eV/atom
- Space-group type: C2/m, No. 12
- DOS(E_F): 11.61 states/eV/cell
- Formation energy from raw total energies: -3.92 eV per formula unit

a = 9.765 Å, b = 9.765 Å, c = 6.750 Å
α = 102.34°, β = 102.34°, γ = 28.56°
Atoms (fractional coordinates):
Tm: 0.032 0.032 0.259
Tm: 0.216 0.216 0.825
Tm: 0.338 0.338 0.517
Tm: 0.406 0.406 0.033
Tm: 0.594 0.594 0.967
Tm: 0.662 0.662 0.483
Tm: 0.784 0.784 0.175
Tm: 0.968 0.968 0.741
Ga: 0.187 0.187 0.251
Ga: 0.813 0.813 0.749
Sb: 0.500 0.500 0.500

---

Entry from the Alexandria database: a relaxed structure of Tm6Ga2Sb (GGA-PBE).

Properties
- Final energy: -4.61 eV/atom
- Space-group type: Immm, No. 71
- DOS(E_F): 15.67 states/eV/cell
- Formation energy from raw total energies: -4.49 eV per formula unit

a = 8.500 Å, b = 8.500 Å, c = 8.500 Å
α = 113.09°, β = 111.71°, γ = 103.76°
Atoms (fractional coordinates):
Tm: 0.023 0.822 0.202
Tm: 0.243 0.540 0.297
Tm: 0.243 0.946 0.703
Tm: 0.276 0.316 0.592
Tm: 0.276 0.684 0.959
Tm: 0.380 0.178 0.202
Tm: 0.620 0.822 0.798
Tm: 0.724 0.316 0.041
Tm: 0.724 0.684 0.408
Tm: 0.757 0.054 0.297
Tm: 0.757 0.460 0.703
Tm: 0.977 0.178 0.798
Ga: 0.000 0.146 0.146
Ga: 0.000 0.854 0.854
Ga: 0.380 0.380 0.000
Ga: 0.620 0.620 0.000
Sb: 0.000 0.500 0.500
Sb: 0.500 0.000 0.500

---

Entry from the Alexandria database: a relaxed structure of Tm4GaSb2 (GGA-PBE).

Properties
- Final energy: -4.78 eV/atom
- Space-group type: I4_1/amd, No. 141
- DOS(E_F): 9.86 states/eV/cell
- Formation energy from raw total energies: -4.29 eV per formula unit

a = 8.091 Å, b = 8.091 Å, c = 8.091 Å
α = 109.42°, β = 109.42°, γ = 109.57°
Atoms (fractional coordinates):
Tm: 0.184 0.238 0.554
Tm: 0.184 0.631 0.946
Tm: 0.238 0.184 0.054
Tm: 0.369 0.816 0.554
Tm: 0.631 0.184 0.446
Tm: 0.762 0.816 0.946
Tm: 0.816 0.369 0.054
Tm: 0.816 0.762 0.446
Ga: 0.125 0.875 0.250
Ga: 0.875 0.125 0.750
Sb: 0.000 0.500 0.500
Sb: 0.500 0.000 0.000
Sb: 0.500 0.500 0.000
Sb: 0.500 0.500 0.500

---

Entry from the Alexandria database: a relaxed structure of Tm4Ga2Sb (GGA-PBE).

Properties
- Final energy: -4.64 eV/atom
- Space-group type: I-42d, No. 122
- DOS(E_F): 12.55 states/eV/cell
- Formation energy from raw total energies: -4.42 eV per formula unit

a = 7.718 Å, b = 7.718 Å, c = 7.718 Å
α = 109.33°, β = 109.33°, γ = 109.75°
Atoms (fractional coordinates):
Tm: 0.134 0.737 0.747
Tm: 0.137 0.241 0.753
Tm: 0.263 0.009 0.397
Tm: 0.487 0.384 0.247
Tm: 0.613 0.866 0.603
Tm: 0.616 0.863 0.103
Tm: 0.759 0.513 0.897
Tm: 0.991 0.387 0.253
Ga: 0.248 0.625 0.123
Ga: 0.375 0.498 0.623
Ga: 0.502 0.125 0.877
Ga: 0.875 0.752 0.377
Sb: 0.000 0.000 0.000
Sb: 0.750 0.250 0.500

---

Entry from the Alexandria database: a relaxed structure of Tm7Ga2Sb2 (GGA-PBE).

Properties
- Final energy: -4.44 eV/atom
- Space-group type: Cmmm, No. 65
- DOS(E_F): 10.53 states/eV/cell
- Formation energy from raw total energies: -3.20 eV per formula unit

a = 6.513 Å, b = 6.513 Å, c = 7.703 Å
α = 90.00°, β = 90.00°, γ = 109.18°
Atoms (fractional coordinates):
Tm: 0.000 0.000 0.000
Tm: 0.000 0.500 0.295
Tm: 0.000 0.500 0.705
Tm: 0.500 0.000 0.295
Tm: 0.500 0.000 0.705
Tm: 0.500 0.500 0.283
Tm: 0.500 0.500 0.717
Ga: 0.170 0.170 0.500
Ga: 0.830 0.830 0.500
Sb: 0.300 0.700 0.000
Sb: 0.700 0.300 0.000

---

Entry from the Alexandria database: a relaxed structure of Tm2GaSb (GGA-PBE).

Properties
- ΔE to the lowest computed polymorph: 0 meV/atom
- Final energy: -4.83 eV/atom
- Space-group type: Cmcm, No. 63
- DOS(E_F): 6.39 states/eV/cell
- Formation energy from raw total energies: -3.23 eV per formula unit

a = 4.344 Å, b = 22.909 Å, c = 4.193 Å
α = 90.00°, β = 90.00°, γ = 90.00°
Atoms (fractional coordinates):
Tm: 0.000 0.060 0.250
Tm: 0.000 0.324 0.250
Tm: 0.000 0.676 0.750
Tm: 0.000 0.940 0.750
Tm: 0.500 0.176 0.750
Tm: 0.500 0.440 0.750
Tm: 0.500 0.560 0.250
Tm: 0.500 0.824 0.250
Ga: 0.000 0.463 0.250
Ga: 0.000 0.537 0.750
Ga: 0.500 0.037 0.750
Ga: 0.500 0.963 0.250
Sb: 0.000 0.190 0.250
Sb: 0.000 0.810 0.750
Sb: 0.500 0.310 0.750
Sb: 0.500 0.690 0.250

---

Entry from the Alexandria database: a relaxed structure of TmGa2Sb (GGA-PBE).

Properties
- Final energy: -4.12 eV/atom
- Space-group type: P4/mmm, No. 123
- DOS(E_F): 0.66 states/eV/cell
- Formation energy from raw total energies: -1.85 eV per formula unit

a = 4.505 Å, b = 4.505 Å, c = 4.313 Å
α = 90.00°, β = 90.00°, γ = 90.00°
Atoms (fractional coordinates):
Tm: 0.000 0.000 0.000
Ga: 0.000 0.500 0.500
Ga: 0.500 0.000 0.500
Sb: 0.500 0.500 0.000

---

Entry from the Alexandria database: a relaxed structure of Tm4GaSb (GGA-PBE).

Properties
- Final energy: -4.71 eV/atom
- Space-group type: C2/c, No. 15
- DOS(E_F): 12.41 states/eV/cell
- Formation energy from raw total energies: -3.22 eV per formula unit

a = 7.958 Å, b = 7.958 Å, c = 6.044 Å
α = 103.07°, β = 103.07°, γ = 114.01°
Atoms (fractional coordinates):
Tm: 0.076 0.708 0.933
Tm: 0.210 0.375 0.668
Tm: 0.292 0.924 0.567
Tm: 0.375 0.210 0.168
Tm: 0.625 0.790 0.832
Tm: 0.708 0.076 0.433
Tm: 0.790 0.625 0.332
Tm: 0.924 0.292 0.067
Ga: 0.000 0.000 0.250
Ga: 0.000 0.000 0.750
Sb: 0.383 0.617 0.250
Sb: 0.617 0.383 0.750

---

Entry from the Alexandria database: a relaxed structure of Tm3GaSb (GGA-PBE).

Properties
- Final energy: -4.66 eV/atom
- Space-group type: C2/c, No. 15
- DOS(E_F): 13.47 states/eV/cell
- Formation energy from raw total energies: -2.73 eV per formula unit

a = 9.031 Å, b = 9.031 Å, c = 6.795 Å
α = 98.43°, β = 98.43°, γ = 92.32°
Atoms (fractional coordinates):
Tm: 0.057 0.769 0.949
Tm: 0.167 0.559 0.357
Tm: 0.231 0.943 0.551
Tm: 0.250 0.401 0.896
Tm: 0.401 0.250 0.396
Tm: 0.441 0.833 0.143
Tm: 0.559 0.167 0.857
Tm: 0.599 0.750 0.604
Tm: 0.750 0.599 0.104
Tm: 0.769 0.057 0.449
Tm: 0.833 0.441 0.643
Tm: 0.943 0.231 0.051
Ga: 0.319 0.681 0.750
Ga: 0.476 0.524 0.250
Ga: 0.524 0.476 0.750
Ga: 0.681 0.319 0.250
Sb: 0.074 0.243 0.496
Sb: 0.243 0.074 0.996
Sb: 0.757 0.926 0.004
Sb: 0.926 0.757 0.504

---

Entry from the Alexandria database: a relaxed structure of TmGa4Sb (GGA-PBE).

Properties
- Final energy: -3.65 eV/atom
- Space-group type: F-43m, No. 216
- DOS(E_F): 3.61 states/eV/cell
- Formation energy from raw total energies: -1.22 eV per formula unit

a = 5.579 Å, b = 5.579 Å, c = 5.579 Å
α = 60.00°, β = 60.00°, γ = 60.00°
Atoms (fractional coordinates):
Tm: 0.000 0.000 0.000
Ga: 0.375 0.375 0.375
Ga: 0.375 0.375 0.875
Ga: 0.375 0.875 0.375
Ga: 0.875 0.375 0.375
Sb: 0.750 0.750 0.750

---

Entry from the Alexandria database: a relaxed structure of UGaSb (GGA-PBE).

Properties
- ΔE to the lowest computed polymorph: 235 meV/atom
- Final energy: -6.14 eV/atom
- Space-group type: I4mm, No. 107
- DOS(E_F): 15.19 states/eV/cell
- Formation energy from raw total energies: 0.01 eV per formula unit

a = 3.643 Å, b = 3.643 Å, c = 10.531 Å
α = 90.00°, β = 90.00°, γ = 90.00°
Atoms (fractional coordinates):
U: 0.000 0.000 0.000
U: 0.500 0.500 0.500
Ga: 0.000 0.000 0.681
Ga: 0.500 0.500 0.181
Sb: 0.000 0.000 0.311
Sb: 0.500 0.500 0.811

---

Entry from the Alexandria database: a relaxed structure of UGa2Sb (GGA-PBE).

Properties
- ΔE to the lowest computed polymorph: 0 meV/atom
- Final energy: -5.62 eV/atom
- Space-group type: P4/mmm, No. 123
- DOS(E_F): 6.36 states/eV/cell
- Formation energy from raw total energies: -1.00 eV per formula unit

a = 4.378 Å, b = 4.378 Å, c = 4.400 Å
α = 90.00°, β = 90.00°, γ = 90.00°
Atoms (fractional coordinates):
U: 0.000 0.000 0.000
Ga: 0.000 0.500 0.500
Ga: 0.500 0.000 0.500
Sb: 0.500 0.500 0.000

---

Entry from the Alexandria database: a relaxed structure of UGaSb (GGA-PBE).

Properties
- ΔE to the lowest computed polymorph: 0 meV/atom
- Final energy: -6.38 eV/atom
- Space-group type: I4/mmm, No. 139
- DOS(E_F): 28.94 states/eV/cell
- Formation energy from raw total energies: -0.69 eV per formula unit

a = 4.393 Å, b = 4.393 Å, c = 14.975 Å
α = 90.00°, β = 90.00°, γ = 90.00°
Atoms (fractional coordinates):
U: 0.000 0.000 0.137
U: 0.000 0.000 0.863
U: 0.500 0.500 0.363
U: 0.500 0.500 0.637
Ga: 0.000 0.500 0.000
Ga: 0.000 0.500 0.500
Ga: 0.500 0.000 0.000
Ga: 0.500 0.000 0.500
Sb: 0.000 0.000 0.345
Sb: 0.000 0.000 0.655
Sb: 0.500 0.500 0.155
Sb: 0.500 0.500 0.845

---

Entry from the Alexandria database: a relaxed structure of U4GaSb (GGA-PBE).

Properties
- Final energy: -8.92 eV/atom
- Space-group type: C2/c, No. 15
- DOS(E_F): 24.04 states/eV/cell
- Formation energy from raw total energies: -1.22 eV per formula unit

a = 5.257 Å, b = 5.257 Å, c = 10.445 Å
α = 93.08°, β = 93.08°, γ = 65.54°
Atoms (fractional coordinates):
U: 0.117 0.164 0.234
U: 0.138 0.640 0.979
U: 0.164 0.117 0.734
U: 0.360 0.862 0.521
U: 0.640 0.138 0.479
U: 0.836 0.883 0.266
U: 0.862 0.360 0.021
U: 0.883 0.836 0.766
Ga: 0.471 0.529 0.250
Ga: 0.529 0.471 0.750
Sb: 0.000 0.500 0.500
Sb: 0.500 0.000 0.000

---

Entry from the Alexandria database: a relaxed structure of UGa2Sb (GGA-PBE).

Properties
- ΔE to the lowest computed polymorph: 417 meV/atom
- Final energy: -5.20 eV/atom
- Space-group type: R-3m, No. 166
- DOS(E_F): 21.97 states/eV/cell
- Formation energy from raw total energies: 0.67 eV per formula unit

a = 4.791 Å, b = 4.791 Å, c = 13.727 Å
α = 90.00°, β = 90.00°, γ = 120.00°
Atoms (fractional coordinates):
U: 0.000 0.000 0.000
U: 0.333 0.667 0.667
U: 0.667 0.333 0.333
Ga: 0.000 0.000 0.235
Ga: 0.000 0.000 0.765
Ga: 0.333 0.667 0.432
Ga: 0.333 0.667 0.902
Ga: 0.667 0.333 0.098
Ga: 0.667 0.333 0.568
Sb: 0.000 0.000 0.500
Sb: 0.333 0.667 0.167
Sb: 0.667 0.333 0.833

---

Entry from the Alexandria database: a relaxed structure of UGaSb (GGA-PBE).

Properties
- ΔE to the lowest computed polymorph: 225 meV/atom
- Final energy: -6.15 eV/atom
- Space-group type: P-6m2, No. 187
- DOS(E_F): 5.13 states/eV/cell
- Formation energy from raw total energies: -0.02 eV per formula unit

a = 5.096 Å, b = 5.096 Å, c = 3.051 Å
α = 90.00°, β = 90.00°, γ = 120.00°
Atoms (fractional coordinates):
U: 0.000 0.000 0.000
Ga: 0.667 0.333 0.500
Sb: 0.333 0.667 0.500

---

Entry from the Alexandria database: a relaxed structure of V3GaSb (GGA-PBE).

Properties
- ΔE to the lowest computed polymorph: 0 meV/atom
- Final energy: -6.80 eV/atom
- Space-group type: C2/m, No. 12
- DOS(E_F): 8.52 states/eV/cell
- Formation energy from raw total energies: 0.51 eV per formula unit

a = 7.047 Å, b = 7.047 Å, c = 5.025 Å
α = 101.42°, β = 101.42°, γ = 41.81°
Atoms (fractional coordinates):
V: 0.000 0.000 0.000
V: 0.000 0.000 0.500
V: 0.089 0.600 0.659
V: 0.400 0.911 0.341
V: 0.600 0.089 0.659
V: 0.911 0.400 0.341
Ga: 0.464 0.464 0.232
Ga: 0.536 0.536 0.768
Sb: 0.191 0.191 0.855
Sb: 0.809 0.809 0.145

---

Entry from the Alexandria database: a relaxed structure of V2Ga2Sb (GGA-PBE).

Properties
- ΔE to the lowest computed polymorph: 193 meV/atom
- Final energy: -5.47 eV/atom
- Space-group type: P4/mbm, No. 127
- DOS(E_F): 9.18 states/eV/cell
- Formation energy from raw total energies: 1.07 eV per formula unit

a = 7.527 Å, b = 7.527 Å, c = 3.118 Å
α = 90.00°, β = 90.00°, γ = 90.00°
Atoms (fractional coordinates):
V: 0.177 0.323 0.000
V: 0.323 0.823 0.000
V: 0.677 0.177 0.000
V: 0.823 0.677 0.000
Ga: 0.120 0.620 0.500
Ga: 0.380 0.120 0.500
Ga: 0.620 0.880 0.500
Ga: 0.880 0.380 0.500
Sb: 0.000 0.000 0.500
Sb: 0.500 0.500 0.500

---

Entry from the Alexandria database: a relaxed structure of V2GaSb (GGA-PBE).

Properties
- ΔE to the lowest computed polymorph: 205 meV/atom
- Final energy: -5.97 eV/atom
- Space-group type: I-42d, No. 122
- DOS(E_F): 21.77 states/eV/cell
- Formation energy from raw total energies: 1.53 eV per formula unit

a = 3.901 Å, b = 3.901 Å, c = 18.790 Å
α = 90.00°, β = 90.00°, γ = 90.00°
Atoms (fractional coordinates):
V: 0.212 0.250 0.125
V: 0.250 0.712 0.375
V: 0.250 0.788 0.875
V: 0.288 0.250 0.625
V: 0.712 0.750 0.625
V: 0.750 0.212 0.875
V: 0.750 0.288 0.375
V: 0.788 0.750 0.125
Ga: 0.000 0.000 0.000
Ga: 0.000 0.500 0.250
Ga: 0.500 0.000 0.750
Ga: 0.500 0.500 0.500
Sb: 0.000 0.000 0.500
Sb: 0.000 0.500 0.750
Sb: 0.500 0.000 0.250
Sb: 0.500 0.500 0.000

---

Entry from the Alexandria database: a relaxed structure of V3GaSb (GGA-PBE).

Properties
- ΔE to the lowest computed polymorph: 1211 meV/atom
- Final energy: -5.59 eV/atom
- Space-group type: Pm-3m, No. 221
- DOS(E_F): 8.25 states/eV/cell
- Formation energy from raw total energies: 6.57 eV per formula unit

a = 4.920 Å, b = 4.920 Å, c = 4.920 Å
α = 90.00°, β = 90.00°, γ = 90.00°
Atoms (fractional coordinates):
V: 0.000 0.000 0.500
V: 0.000 0.500 0.000
V: 0.500 0.000 0.000
Ga: 0.500 0.500 0.500
Sb: 0.000 0.000 0.000

---

Entry from the Alexandria database: a relaxed structure of V3GaSb (GGA-PBE).

Properties
- ΔE to the lowest computed polymorph: 740 meV/atom
- Final energy: -6.06 eV/atom
- Space-group type: Pm-3m, No. 221
- DOS(E_F): 9.91 states/eV/cell
- Formation energy from raw total energies: 4.21 eV per formula unit

a = 4.630 Å, b = 4.630 Å, c = 4.630 Å
α = 90.00°, β = 90.00°, γ = 90.00°
Atoms (fractional coordinates):
V: 0.000 0.000 0.500
V: 0.000 0.500 0.000
V: 0.500 0.000 0.000
Ga: 0.000 0.000 0.000
Sb: 0.500 0.500 0.500